# 1
{"formula": "MgVPO5", "functional": "GGA-PBEsol", "state": "relaxed", "cell": [[-1.637, 1.770, -4.633], [-4.875, -1.537, 1.845], [1.926, 5.569, 3.754]], "species": ["O", "O", "O", "O", "O", "O", "O", "O", "O", "O", "P", "P", "Mg", "Mg", "V", "V"], "fractional_positions": [[0.366, 0.348, 0.621], [0.264, 0.271, 0.939], [0.736, 0.729, 0.061], [0.634, 0.652, 0.379], [0.415, 0.067, 0.246], [0.169, 0.680, 0.848], [0.869, 0.268, 0.616], [0.831, 0.320, 0.152], [0.585, 0.933, 0.754], [0.131, 0.732, 0.384], [0.172, 0.384, 0.757], [0.828, 0.616, 0.243], [0.252, 0.375, 0.256], [0.748, 0.625, 0.744], [0.500, 0.000, 0.500], [0.500, 0.000, 0.000]], "magnetic_moment_mub_per_atom": 0.2500, "sg": "P-1 (2)", "e_form_raw_ev_per_atom": -2.415, "final_energy_ev_per_atom": -7.84}

***

# 2
{"formula": "In3Pd5", "functional": "GGA-PBEsol", "state": "relaxed", "cell": [[-1.219, -3.713, 1.476], [3.729, 0.441, 4.190], [-7.659, 5.016, 6.289]], "species": ["Pd", "Pd", "Pd", "Pd", "Pd", "Pd", "Pd", "Pd", "Pd", "Pd", "In", "In", "In", "In", "In", "In"], "fractional_positions": [[0.000, 0.561, 0.745], [0.500, 0.204, 0.111], [0.000, 0.061, 0.755], [0.000, 0.939, 0.245], [0.500, 0.704, 0.389], [0.000, 0.439, 0.255], [0.500, 0.796, 0.889], [0.500, 0.296, 0.611], [0.000, 0.000, 0.500], [0.000, 0.500, 0.000], [0.500, 0.684, 0.142], [0.500, 0.316, 0.858], [0.000, 0.000, 0.000], [0.500, 0.816, 0.642], [0.000, 0.500, 0.500], [0.500, 0.184, 0.358]], "magnetic_moment_mub_per_atom": 0.0000, "sg": "Pbam (55)", "formation_enthalpy_0k_ev_per_atom": -0.549, "final_energy_ev_per_atom": -5.39}

***

# 3
{"formula": "SrY3Mg", "functional": "GGA-PBEsol", "state": "relaxed", "cell": [[-0.531, 5.479, 1.466], [-5.393, -0.944, 1.573], [1.756, -1.241, 5.275]], "species": ["Y", "Y", "Y", "Mg", "Sr"], "fractional_positions": [[0.000, 0.000, 0.500], [0.000, 0.500, 0.000], [0.500, 0.000, 0.000], [0.000, 0.000, 0.000], [0.500, 0.500, 0.500]], "magnetic_moment_mub_per_atom": 0.0009, "sg": "Pm-3m (221)", "formation_enthalpy_0k_ev_per_atom": 0.492, "final_energy_ev_per_atom": -4.31}

***

# 4
{"formula": "Cs2YTlF6", "functional": "GGA-PBEsol", "state": "relaxed", "cell": [[6.768, 0.000, 0.000], [3.384, 5.862, 0.000], [3.384, 1.954, 5.526]], "species": ["F", "F", "F", "F", "F", "F", "Cs", "Cs", "Y", "Tl"], "fractional_positions": [[0.225, 0.775, 0.225], [0.225, 0.225, 0.775], [0.775, 0.775, 0.225], [0.225, 0.775, 0.775], [0.775, 0.225, 0.775], [0.775, 0.225, 0.225], [0.250, 0.250, 0.250], [0.750, 0.750, 0.750], [0.000, 0.000, 0.000], [0.500, 0.500, 0.500]], "magnetic_moment_mub_per_atom": 0.0000, "sg": "Fm-3m (225)", "e_form_raw_ev_per_atom": -3.114, "final_energy_ev_per_atom": -5.40}